[1]
First-principles (GGA-PBE) data for a relaxed H3SCl3 crystal, as listed in Alexandria.

Computed properties:
D(E_F), states/eV/f.u.: 3.91
Final energy, eV per cell: -39.06

```
H3SCl3
1.0
7.9774 0.0000 0.0000
-3.9887 6.9086 0.0000
0.0000 0.0000 4.6904
H S Cl
6 2 6
Direct
0.0876 0.4590 0.2500
0.3713 0.9124 0.2500
0.4590 0.3713 0.7500
0.5410 0.6287 0.2500
0.6287 0.0876 0.7500
0.9124 0.5410 0.7500
0.3333 0.6667 0.2500
0.6667 0.3333 0.7500
0.1041 0.7058 0.7500
0.2942 0.3983 0.7500
0.3983 0.1041 0.2500
0.6017 0.8959 0.7500
0.7058 0.6017 0.2500
0.8959 0.2942 0.2500
```

[2]
First-principles (GGA-PBE) data for a relaxed SbHS2Cl crystal, as listed in Alexandria.

Computed properties:
D(E_F), states/eV/f.u.: 2.23
Energy above the most stable polymorph in this dataset, eV per atom: 0.775

```
SbHS2Cl
1.0
4.0186 0.0000 0.0000
0.0000 4.0186 0.0000
0.0000 0.0000 5.0953
Sb H S Cl
1 1 2 1
Direct
0.0000 0.0000 0.0000
0.5000 0.5000 0.5000
0.0000 0.5000 0.5000
0.5000 0.0000 0.5000
0.5000 0.5000 0.0000
```

[3]
First-principles (GGA-PBE) data for a relaxed SbHS2Cl crystal, as listed in Alexandria.

Computed properties:
D(E_F), states/eV/f.u.: 5.39
Energy above the most stable polymorph in this dataset, eV per atom: 0.922

```
SbHS2Cl
1.0
5.0192 0.0000 0.0000
0.0000 5.0192 0.0000
0.0000 0.0000 5.3129
Sb H S Cl
1 1 2 1
Direct
0.0000 0.0000 0.0000
0.5000 0.5000 0.5000
0.0000 0.5000 0.0000
0.5000 0.0000 0.0000
0.0000 0.0000 0.5000
```

[4]
First-principles (GGA-PBE) data for a relaxed SbHS2Cl crystal, as listed in Alexandria.

Computed properties:
D(E_F), states/eV/f.u.: 1.08
Energy above the most stable polymorph in this dataset, eV per atom: 0.000

```
SbHS2Cl
1.0
7.7501 0.0000 0.0000
0.0000 4.2913 0.0000
-2.1539 0.0000 8.3430
Sb H S Cl
2 2 4 2
Direct
0.0292 0.2500 0.1847
0.9708 0.7500 0.8153
0.3572 0.2500 0.5723
0.6428 0.7500 0.4277
0.1910 0.7500 0.0782
0.4594 0.2500 0.4633
0.5406 0.7500 0.5367
0.8090 0.2500 0.9218
0.1665 0.2500 0.7263
0.8335 0.7500 0.2737
```

[5]
First-principles (GGA-PBE) data for a relaxed SbHSCl2 crystal, as listed in Alexandria.

Computed properties:
D(E_F), states/eV/f.u.: 6.83
Energy above the most stable polymorph in this dataset, eV per atom: 0.000

```
SbHSCl2
1.0
5.2919 0.0000 0.0000
0.0000 5.2919 0.0000
0.0000 0.0000 5.0338
Sb H S Cl
1 1 1 2
Direct
0.0000 0.0000 0.0000
0.5000 0.5000 0.5000
0.0000 0.0000 0.5000
0.0000 0.5000 0.0000
0.5000 0.0000 0.0000
```

[6]
First-principles (GGA-PBE) data for a relaxed SbHSCl2 crystal, as listed in Alexandria.

Computed properties:
D(E_F), states/eV/f.u.: 2.18
Energy above the most stable polymorph in this dataset, eV per atom: 0.115

```
SbHSCl2
1.0
4.0474 0.0000 0.0000
0.0000 4.0474 0.0000
0.0000 0.0000 5.5517
Sb H S Cl
1 1 1 2
Direct
0.0000 0.0000 0.0000
0.5000 0.5000 0.5000
0.5000 0.5000 0.0000
0.0000 0.5000 0.5000
0.5000 0.0000 0.5000
```

[7]
First-principles (GGA-PBE) data for a relaxed ScHS2Cl crystal, as listed in Alexandria.

Computed properties:
D(E_F), states/eV/f.u.: 2.29
Energy above the most stable polymorph in this dataset, eV per atom: 0.000

```
ScHS2Cl
1.0
3.8526 0.0000 0.0000
0.0000 3.8526 0.0000
0.0000 0.0000 5.0290
Sc H S Cl
1 1 2 1
Direct
0.0000 0.0000 0.0000
0.5000 0.5000 0.5000
0.0000 0.5000 0.5000
0.5000 0.0000 0.5000
0.5000 0.5000 0.0000
```

[8]
First-principles (GGA-PBE) data for a relaxed ScHS2Cl crystal, as listed in Alexandria.

Computed properties:
D(E_F), states/eV/f.u.: 3.31
Energy above the most stable polymorph in this dataset, eV per atom: 0.075

```
ScHS2Cl
1.0
4.9941 0.0000 0.0000
0.0000 4.9941 0.0000
0.0000 0.0000 5.0609
Sc H S Cl
1 1 2 1
Direct
0.0000 0.0000 0.0000
0.5000 0.5000 0.5000
0.0000 0.5000 0.0000
0.5000 0.0000 0.0000
0.0000 0.0000 0.5000
```